Material: Nd2AlRhO6
Method: DFT, PBE
State: optimized geometry

Calculated values
- Formation energy without anion corrections: -2513 meV/atom

abc: 5.416 5.547 7.742
angles: 90.00 90.00 90.00
Fractional coordinates of all 20 atoms:
1 O 0.500 0.230 0.741
2 O 0.500 0.230 0.259
3 O 0.000 0.770 0.241
4 O 0.753 0.990 0.000
5 O 0.250 0.522 0.000
6 O 0.750 0.478 0.500
7 O 0.250 0.478 0.500
8 O 0.247 0.990 0.000
9 O 0.750 0.522 0.000
10 O 0.747 0.010 0.500
11 O 0.253 0.010 0.500
12 O 0.000 0.770 0.759
13 Nd 0.000 0.235 0.739
14 Nd 0.500 0.765 0.239
15 Nd 0.500 0.765 0.761
16 Nd 0.000 0.235 0.261
17 Rh 0.000 0.746 0.500
18 Rh 0.500 0.254 0.000
19 Al 0.500 0.251 0.500
20 Al 0.000 0.749 0.000

=====

Material: NdAl2RuO8
Method: DFT, PBE
State: optimized geometry

Calculated values
- Formation energy without anion corrections: -2011 meV/atom

abc: 4.643 4.630 6.375
angles: 90.00 90.00 88.98
Each line ends with the local moment (μB).
Fractional coordinates of all 12 atoms:
1 O 0.341 0.338 0.500  0.24
2 O 0.789 0.214 0.792  0.12
3 O 0.697 0.700 0.000  -0.04
4 O 0.303 0.300 0.000  -0.04
5 O 0.211 0.786 0.208  0.12
6 O 0.211 0.786 0.792  0.12
7 O 0.659 0.662 0.500  0.24
8 O 0.789 0.214 0.208  0.12
9 Al 0.500 0.500 0.763  0.00
10 Al 0.500 0.500 0.237  0.00
11 Nd 0.000 0.000 0.500  0.03
12 Ru 0.000 0.000 0.000  1.11

=====

Material: NdAlRuO6
Method: DFT, PBE
State: optimized geometry

Calculated values
- Formation energy without anion corrections: -1938 meV/atom

abc: 4.859 4.859 9.578
angles: 90.00 90.00 90.00
Fractional coordinates of all 18 atoms:
1 Ru 0.500 0.500 0.159
2 Ru 0.000 0.000 0.659
3 Al 0.000 0.000 0.344
4 Al 0.500 0.500 0.844
5 O 0.260 0.260 0.693
6 O 0.172 0.828 0.502
7 O 0.736 0.736 0.314
8 O 0.264 0.264 0.314
9 O 0.240 0.760 0.193
10 O 0.236 0.764 0.814
11 O 0.672 0.672 0.002
12 O 0.760 0.240 0.193
13 O 0.828 0.172 0.502
14 O 0.328 0.328 0.002
15 O 0.740 0.740 0.693
16 O 0.764 0.236 0.814
17 Nd 0.000 0.000 0.979
18 Nd 0.500 0.500 0.479

=====

Material: NdAlS2O8
Method: DFT, PBE
State: optimized geometry

Calculated values
- Formation energy without anion corrections: -1695 meV/atom

abc: 5.299 5.299 6.568
angles: 90.00 90.00 120.00
Each line ends with the local moment (μB).
Fractional coordinates of all 12 atoms:
1 O 0.844 0.156 0.192  0.11
2 O 0.156 0.844 0.808  0.11
3 O 0.688 0.844 0.808  0.11
4 O 0.333 0.667 0.548  -0.01
5 O 0.844 0.688 0.192  0.11
6 O 0.667 0.333 0.452  -0.01
7 O 0.156 0.312 0.808  0.11
8 O 0.312 0.156 0.192  0.11
9 S 0.333 0.667 0.779  0.17
10 S 0.667 0.333 0.221  0.17
11 Al 0.000 0.000 0.000  0.00
12 Nd 0.000 0.000 0.500  0.07